No. 1
Ca2CuCl: optimized geometry, PBEsol.

Geometry as POSCAR:
```
Ca2CuCl
1.0
4.0867 0.0000 0.0000
0.0000 4.1083 0.0000
0.0000 0.0000 5.8046
Ca Cu Cl
2 1 1
Cartesian
0.0000 0.0000 0.0000 Ca
2.0433 2.0541 2.9023 Ca
0.0000 0.0000 2.9023 Cu
2.0433 2.0541 0.0000 Cl
```

Values from the calculation:
Relative energy among the computed polymorphs = 46 meV per atom
Volume = 97 Å³/f.u.
Total energy = -3.403 eV per atom
E_form (uncorrected) = -751 meV/atom

***

No. 2
YAl2P: optimized geometry, PBEsol.

Geometry as POSCAR:
```
YAl2P
1.0
3.8760 0.0000 0.0000
0.0000 3.8760 0.0000
0.0000 0.0000 9.9210
Y Al P
2 4 2
Cartesian
0.0000 0.0000 0.0000 Y
1.9380 1.9380 4.9605 Y
0.0000 1.9380 2.4803 Al
0.0000 1.9380 7.4408 Al
1.9380 0.0000 2.4803 Al
1.9380 0.0000 7.4408 Al
0.0000 0.0000 4.9605 P
1.9380 1.9380 0.0000 P
```

Values from the calculation:
Calculated formation energy = -2.2 eV per formula unit
Volume = 75 Å³/f.u.
Total energy = -5.743 eV per atom